Computed, not measured: crystalline CsNpSe2 at its relaxed geometry at the PBE level of DFT.

Output
- Raw formation energy: -1.213 eV/atom
- Magnetic moment: 1.0000 μB/atom
- Space-group type: R3m
- Fermi-level density of states: 11.12 states/eV/cell

abc: 8.8185 8.8185 8.8185
angles: 28.25 28.25 28.25
Last column: nearest neighbours and their distance in Å.
Sites, in units of the cell vectors:
Cs  0.0000  0.0000  0.0000  6 Se 3.60-3.69
Np  0.1690  0.1690  0.1690  6 Se 2.94
Se  0.5640  0.5640  0.5640  3 Np 2.94
Se  0.7740  0.7740  0.7740  3 Np 2.94

=====

Computed, not measured: crystalline Cs2Np2Se5 at its relaxed geometry at the PBE level of DFT.

Output
- Raw formation energy: -1.172 eV/atom
- Magnetic moment: 0.6665 μB/atom
- Space-group type: Cmce
- Fermi-level density of states: 33.28 states/eV/cell

abc: 9.6736 9.6736 7.9733
angles: 90.00 90.00 48.65
Last column: nearest neighbours and their distance in Å.
Sites, in units of the cell vectors:
Cs  0.2062  0.2062  0.0000  7 Se 3.57-3.75
Cs  0.2938  0.2938  0.5000  7 Se 3.57-3.75
Cs  0.7062  0.7062  0.5000  7 Se 3.57-3.75
Cs  0.7938  0.7938  0.0000  7 Se 3.57-3.75
Np  0.1613  0.8387  0.6614  8 Se 2.84-3.03
Np  0.3387  0.6613  0.1614  8 Se 2.84-3.03
Np  0.6613  0.3387  0.8386  8 Se 2.84-3.03
Np  0.8387  0.1613  0.3386  8 Se 2.84-3.03
Se  0.0000  0.0000  0.0000  4 Np 2.99
Se  0.0416  0.7539  0.3563  3 Np 2.84-3.03
Se  0.2461  0.9584  0.3563  3 Np 2.84-3.03
Se  0.2539  0.5416  0.8563  3 Np 2.84-3.03
Se  0.4584  0.7461  0.8563  3 Np 2.84-3.03
Se  0.5000  0.5000  0.5000  4 Np 2.99
Se  0.5416  0.2539  0.1437  3 Np 2.84-3.03
Se  0.7461  0.4584  0.1437  3 Np 2.84-3.03
Se  0.7539  0.0416  0.6437  3 Np 2.84-3.03
Se  0.9584  0.2461  0.6437  3 Np 2.84-3.03